8
Lattice="-1.5620 -4.0328 1.1515 3.6313 -0.2071 4.2004 -6.3435 3.0975 2.2429" Properties=species:S:1:pos:R:3 comment="Er2NiAu | Alexandria | PBE-GGA | optimized geometry" sg=P2_1/m formation_energy_ev_per_atom=-0.6733 density_g_cm3=11.3 pbc="T T T"
Au -0.5777 -2.2731 4.3013
Ni -3.7926 -0.7086 5.4193
Au -3.6965 1.1305 3.2935
Er 2.0527 -0.9633 3.7594
Er -3.0381 -1.7520 2.7885
Er -6.3269 -0.1792 3.8355
Er -1.2361 0.6095 4.8063
Ni -0.4815 -0.4339 2.1755